# 1
# ZnInNiMo, optimized geometry, DFT PBE
data_ZnInNiMo
_chemical_formula_sum 'Zn4 In4 Ni4 Mo4'
_symmetry_space_group_name_H-M 'F -4 3 m'
_symmetry_Int_Tables_number 216
_symmetry_space_group_name_Hall 'F -4 2 3'
_cell_length_a 6.306
_cell_length_b 6.306
_cell_length_c 6.306
_cell_angle_alpha 90.00
_cell_angle_beta 90.00
_cell_angle_gamma 90.00
loop_
_atom_site_label
_atom_site_type_symbol
_atom_site_fract_x
_atom_site_fract_y
_atom_site_fract_z
Zn1 Zn 0.000 0.000 0.000
In1 In 0.000 0.000 0.500
Ni1 Ni 0.250 0.250 0.750
Mo1 Mo 0.250 0.250 0.250
# Final energy (Ha/atom): -0.1761

=====

# 2
# BaSrCdAsP, optimized geometry, DFT PBE
data_BaSrCdAsP
_chemical_formula_sum 'Ba4 Sr4 Cd4 As4 P4'
_symmetry_space_group_name_H-M 'C m c 21'
_symmetry_Int_Tables_number 36
_cell_length_a 4.490
_cell_length_b 17.293
_cell_length_c 7.690
_cell_angle_alpha 90.00
_cell_angle_beta 90.00
_cell_angle_gamma 90.00
loop_
_symmetry_equiv_pos_as_xyz
'x,y,z'
'-x,-y,z+1/2'
'-x,y,z'
'x,-y,z+1/2'
'x+1/2,y+1/2,z'
'-x+1/2,-y+1/2,z+1/2'
'-x+1/2,y+1/2,z'
'x+1/2,-y+1/2,z+1/2'
loop_
_atom_site_label
_atom_site_type_symbol
_atom_site_fract_x
_atom_site_fract_y
_atom_site_fract_z
Ba1 Ba 0.000 0.207 0.000
Sr1 Sr 0.000 0.034 0.655
Cd1 Cd 0.000 0.406 0.816
As1 As 0.000 0.439 0.449
P1 P 0.000 0.167 0.406
# E above lowest polymorph (meV/atom): 0

=====

# 3
# Nd3Y2ErCoTe2, optimized geometry, DFT PBE
data_Nd3Y2ErCoTe2
_chemical_formula_sum 'Nd6 Y4 Er2 Co2 Te4'
_symmetry_space_group_name_H-M 'A m m 2'
_symmetry_Int_Tables_number 38
_cell_length_a 4.022
_cell_length_b 14.600
_cell_length_c 8.464
_cell_angle_alpha 90.00
_cell_angle_beta 90.00
_cell_angle_gamma 90.00
loop_
_symmetry_equiv_pos_as_xyz
'x,y,z'
'-x,-y,z'
'-x,y,z'
'x,-y,z'
'x,y+1/2,z+1/2'
'-x,-y+1/2,z+1/2'
'-x,y+1/2,z+1/2'
'x,-y+1/2,z+1/2'
loop_
_atom_site_label
_atom_site_type_symbol
_atom_site_fract_x
_atom_site_fract_y
_atom_site_fract_z
Nd1 Nd 0.000 0.000 0.000
Nd2 Nd 0.000 0.201 0.608
Y1 Y 0.500 0.117 0.289
Er1 Er 0.500 0.000 0.635
Co1 Co 0.000 0.000 0.412
Te1 Te 0.500 0.167 0.906
# Final energy (Ha/atom): -0.2105

=====

# 4
# GdHoSbF2, optimized geometry, DFT PBE
data_GdHoSbF2
_chemical_formula_sum 'Gd1 Ho1 Sb1 F2'
_symmetry_space_group_name_H-M 'P 3 m 1'
_symmetry_Int_Tables_number 156
_cell_length_a 4.0560
_cell_length_b 4.0560
_cell_length_c 6.9773
_cell_angle_alpha 90.00
_cell_angle_beta 90.00
_cell_angle_gamma 120.00
loop_
_symmetry_equiv_pos_as_xyz
'x,y,z'
'-y,x-y,z'
'-x+y,-x,z'
'-y,-x,z'
'-x+y,y,z'
'x,x-y,z'
loop_
_atom_site_label
_atom_site_type_symbol
_atom_site_fract_x
_atom_site_fract_y
_atom_site_fract_z
Gd1 Gd 0.0000 0.0000 0.0000
Ho1 Ho 0.3333 0.6667 0.5366
Sb1 Sb 0.6667 0.3333 0.2720
F1 F 0.0000 0.0000 0.6633
F2 F 0.3333 0.6667 0.8622
# Final energy (Ha/atom): -0.2156

=====

# 5
# CsDyErTe3, optimized geometry, DFT PBE
data_CsDyErTe3
_chemical_formula_sum 'Cs4 Dy4 Er4 Te12'
_symmetry_space_group_name_H-M 'C m c m'
_symmetry_Int_Tables_number 63
_symmetry_space_group_name_Hall '-C 2c 2'
_cell_length_a 4.707
_cell_length_b 17.556
_cell_length_c 11.852
_cell_angle_alpha 90.00
_cell_angle_beta 90.00
_cell_angle_gamma 90.00
loop_
_atom_site_label
_atom_site_type_symbol
_atom_site_fract_x
_atom_site_fract_y
_atom_site_fract_z
Cs1 Cs 0.000 0.244 0.250
Dy1 Dy 0.000 0.500 0.000
Er1 Er 0.000 0.034 0.750
Te1 Te 0.000 0.120 0.542
Te2 Te 0.000 0.436 0.750
# E above lowest polymorph (meV/atom): 0

=====

# 6
# ZrTlCoTe3, optimized geometry, DFT PBE
data_ZrTlCoTe3
_chemical_formula_sum 'Zr4 Tl4 Co4 Te12'
_symmetry_space_group_name_H-M 'C m c m'
_symmetry_Int_Tables_number 63
_symmetry_space_group_name_Hall '-C 2c 2'
_cell_length_a 3.926
_cell_length_b 16.323
_cell_length_c 10.484
_cell_angle_alpha 90.00
_cell_angle_beta 90.00
_cell_angle_gamma 90.00
loop_
_atom_site_label
_atom_site_type_symbol
_atom_site_fract_x
_atom_site_fract_y
_atom_site_fract_z
Zr1 Zr 0.000 0.000 0.000
Tl1 Tl 0.000 0.251 0.250
Co1 Co 0.000 0.477 0.750
Te1 Te 0.000 0.077 0.750
Te2 Te 0.000 0.374 0.567
# Final energy (Ha/atom): -0.1859

=====

# 7
# NaZrTcTe, optimized geometry, DFT PBE
data_NaZrTcTe
_chemical_formula_sum 'Na4 Zr4 Tc4 Te4'
_symmetry_space_group_name_H-M 'F -4 3 m'
_symmetry_Int_Tables_number 216
_symmetry_space_group_name_Hall 'F -4 2 3'
_cell_length_a 6.806
_cell_length_b 6.806
_cell_length_c 6.806
_cell_angle_alpha 90.00
_cell_angle_beta 90.00
_cell_angle_gamma 90.00
loop_
_atom_site_label
_atom_site_type_symbol
_atom_site_fract_x
_atom_site_fract_y
_atom_site_fract_z
Na1 Na 0.000 0.000 0.000
Zr1 Zr 0.000 0.000 0.500
Tc1 Tc 0.250 0.250 0.750
Te1 Te 0.250 0.250 0.250
# E above lowest polymorph (meV/atom): 246

=====

# 8
# BaCoNiSe3, optimized geometry, DFT PBE
data_BaCoNiSe3
_chemical_formula_sum 'Ba4 Co4 Ni4 Se12'
_symmetry_space_group_name_H-M 'C m c m'
_symmetry_Int_Tables_number 63
_symmetry_space_group_name_Hall '-C 2c 2'
_cell_length_a 3.842
_cell_length_b 13.747
_cell_length_c 9.681
_cell_angle_alpha 90.00
_cell_angle_beta 90.00
_cell_angle_gamma 90.00
loop_
_atom_site_label
_atom_site_type_symbol
_atom_site_fract_x
_atom_site_fract_y
_atom_site_fract_z
Ba1 Ba 0.000 0.242 0.250
Co1 Co 0.000 0.000 0.000
Ni1 Ni 0.000 0.467 0.750
Se1 Se 0.000 0.060 0.750
Se2 Se 0.000 0.385 0.537
# Final energy (Ha/atom): -0.1772

=====

# 9
# ZrScSi2, optimized geometry, DFT PBE
data_ZrScSi2
_chemical_formula_sum 'Zr2 Sc2 Si4'
_symmetry_space_group_name_H-M 'A m m 2'
_symmetry_Int_Tables_number 38
_cell_length_a 3.730
_cell_length_b 3.862
_cell_length_c 9.917
_cell_angle_alpha 90.00
_cell_angle_beta 90.00
_cell_angle_gamma 90.00
loop_
_symmetry_equiv_pos_as_xyz
'x,y,z'
'-x,-y,z'
'-x,y,z'
'x,-y,z'
'x,y+1/2,z+1/2'
'-x,-y+1/2,z+1/2'
'-x,y+1/2,z+1/2'
'x,-y+1/2,z+1/2'
loop_
_atom_site_label
_atom_site_type_symbol
_atom_site_fract_x
_atom_site_fract_y
_atom_site_fract_z
Zr1 Zr 0.000 0.000 0.000
Sc1 Sc 0.500 0.000 0.718
Si1 Si 0.000 0.000 0.279
Si2 Si 0.500 0.000 0.442
# E above lowest polymorph (meV/atom): 0

=====

# 10
# BiW3C2, optimized geometry, DFT PBE
data_BiW3C2
_chemical_formula_sum 'Bi2 W6 C4'
_symmetry_space_group_name_H-M 'P 63/m m c'
_symmetry_Int_Tables_number 194
_symmetry_space_group_name_Hall '-P 6c 2c'
_cell_length_a 3.1446
_cell_length_b 3.1446
_cell_length_c 20.2905
_cell_angle_alpha 90.00
_cell_angle_beta 90.00
_cell_angle_gamma 120.00
loop_
_atom_site_label
_atom_site_type_symbol
_atom_site_fract_x
_atom_site_fract_y
_atom_site_fract_z
Bi1 Bi 0.0000 0.0000 0.2500
W1 W 0.0000 0.0000 0.0000
W2 W 0.3333 0.6667 0.1170
C1 C 0.3333 0.6667 0.5643
# Final energy (Ha/atom): -0.3585

=====

# 11
# PuZn, optimized geometry, DFT PBE
data_PuZn
_chemical_formula_sum 'Pu3 Zn3'
_symmetry_space_group_name_H-M 'R 3 m'
_symmetry_Int_Tables_number 160
_symmetry_space_group_name_Hall 'R 3 -2"'
_cell_length_a 4.6988
_cell_length_b 4.6988
_cell_length_c 11.4649
_cell_angle_alpha 90.00
_cell_angle_beta 90.00
_cell_angle_gamma 120.00
loop_
_atom_site_label
_atom_site_type_symbol
_atom_site_fract_x
_atom_site_fract_y
_atom_site_fract_z
Pu1 Pu 0.0000 0.0000 0.0000
Zn1 Zn 0.0000 0.0000 0.2500
# Formation energy from the elements (kJ/mol of atoms): 88.3

=====

# 12
# Ba3Cd2W2, optimized geometry, DFT PBE
data_Ba3Cd2W2
_chemical_formula_sum 'Ba9 Cd6 W6'
_symmetry_space_group_name_H-M 'R 3 m'
_symmetry_Int_Tables_number 160
_symmetry_space_group_name_Hall 'R 3 -2"'
_cell_length_a 4.6801
_cell_length_b 4.6801
_cell_length_c 35.5717
_cell_angle_alpha 90.00
_cell_angle_beta 90.00
_cell_angle_gamma 120.00
loop_
_atom_site_label
_atom_site_type_symbol
_atom_site_fract_x
_atom_site_fract_y
_atom_site_fract_z
Ba1 Ba 0.0000 0.0000 0.0000
Ba2 Ba 0.0000 0.0000 0.2211
Ba3 Ba 0.0000 0.0000 0.4853
Cd1 Cd 0.0000 0.0000 0.0974
Cd2 Cd 0.0000 0.0000 0.6086
W1 W 0.0000 0.0000 0.3973
W2 W 0.0000 0.0000 0.7340
# Final energy (Ha/atom): -0.1562

=====

# 13
# Sm2Sc2CCl5, optimized geometry, DFT PBE
data_Sm2Sc2CCl5
_chemical_formula_sum 'Sm4 Sc4 C2 Cl10'
_symmetry_space_group_name_H-M 'C 1 2/m 1'
_symmetry_Int_Tables_number 12
_cell_length_a 16.748
_cell_length_b 3.670
_cell_length_c 8.065
_cell_angle_alpha 90.00
_cell_angle_beta 103.20
_cell_angle_gamma 90.00
loop_
_symmetry_equiv_pos_as_xyz
'x,y,z'
'-x,-y,-z'
'-x,y,-z'
'x,-y,z'
'x+1/2,y+1/2,z'
'-x+1/2,-y+1/2,-z'
'-x+1/2,y+1/2,-z'
'x+1/2,-y+1/2,z'
loop_
_atom_site_label
_atom_site_type_symbol
_atom_site_fract_x
_atom_site_fract_y
_atom_site_fract_z
Sm1 Sm 0.001 0.000 0.287
Sc1 Sc 0.138 0.500 0.570
C1 C 0.000 0.500 0.500
Cl1 Cl 0.000 0.500 0.000
Cl2 Cl 0.170 0.000 0.803
Cl3 Cl 0.174 0.000 0.364
# E above lowest polymorph (meV/atom): 0

=====

# 14
# Hf4AlGeN2, optimized geometry, DFT PBE
data_Hf4AlGeN2
_chemical_formula_sum 'Hf4 Al1 Ge1 N2'
_symmetry_space_group_name_H-M 'P -6 m 2'
_symmetry_Int_Tables_number 187
_symmetry_space_group_name_Hall 'P -6 2'
_cell_length_a 3.2041
_cell_length_b 3.2041
_cell_length_c 13.9027
_cell_angle_alpha 90.00
_cell_angle_beta 90.00
_cell_angle_gamma 120.00
loop_
_atom_site_label
_atom_site_type_symbol
_atom_site_fract_x
_atom_site_fract_y
_atom_site_fract_z
Hf1 Hf 0.0000 0.0000 0.1536
Hf2 Hf 0.6667 0.3333 0.3364
Al1 Al 0.0000 0.0000 0.5000
Ge1 Ge 0.6667 0.3333 0.0000
N1 N 0.3333 0.6667 0.2454
# Final energy (Ha/atom): -0.3386

=====

# 15
# DyEr3As4, optimized geometry, DFT PBE
data_DyEr3As4
_chemical_formula_sum 'Dy2 Er6 As8'
_symmetry_space_group_name_H-M 'C m m m'
_symmetry_Int_Tables_number 65
_symmetry_space_group_name_Hall '-C 2 2'
_cell_length_a 8.168
_cell_length_b 11.553
_cell_length_c 4.086
_cell_angle_alpha 90.00
_cell_angle_beta 90.00
_cell_angle_gamma 90.00
loop_
_atom_site_label
_atom_site_type_symbol
_atom_site_fract_x
_atom_site_fract_y
_atom_site_fract_z
Dy1 Dy 0.000 0.000 0.000
Er1 Er 0.000 0.500 0.000
Er2 Er 0.250 0.250 0.500
As1 As 0.000 0.251 0.000
As2 As 0.248 0.500 0.500
# Final energy (Ha/atom): -0.2254

=====

# 16
# Dy4Co7Ge6, optimized geometry, DFT PBE
data_Dy4Co7Ge6
_chemical_formula_sum 'Dy8 Co14 Ge12'
_symmetry_space_group_name_H-M 'I m -3 m'
_symmetry_Int_Tables_number 229
_symmetry_space_group_name_Hall '-I 4 2 3'
_cell_length_a 8.125
_cell_length_b 8.125
_cell_length_c 8.125
_cell_angle_alpha 90.00
_cell_angle_beta 90.00
_cell_angle_gamma 90.00
loop_
_atom_site_label
_atom_site_type_symbol
_atom_site_fract_x
_atom_site_fract_y
_atom_site_fract_z
Dy1 Dy 0.250 0.250 0.250
Co1 Co 0.000 0.000 0.000
Co2 Co 0.000 0.250 0.500
Ge1 Ge 0.000 0.000 0.328
# Final energy (Ha/atom): -0.2275

=====

# 17
# K2TaAg2Se4, optimized geometry, DFT PBE
data_K2TaAg2Se4
_chemical_formula_sum 'K4 Ta2 Ag4 Se8'
_symmetry_space_group_name_H-M 'P 1 2/c 1'
_symmetry_Int_Tables_number 13
_cell_length_a 7.560
_cell_length_b 6.129
_cell_length_c 11.938
_cell_angle_alpha 90.00
_cell_angle_beta 113.23
_cell_angle_gamma 90.00
loop_
_symmetry_equiv_pos_as_xyz
'x,y,z'
'-x,-y,-z'
'-x,y,-z+1/2'
'x,-y,z+1/2'
loop_
_atom_site_label
_atom_site_type_symbol
_atom_site_fract_x
_atom_site_fract_y
_atom_site_fract_z
K1 K 0.000 0.000 0.000
K2 K 0.000 0.485 0.250
Ta1 Ta 0.500 0.248 0.750
Ag1 Ag 0.499 0.250 0.012
Se1 Se 0.277 0.020 0.806
Se2 Se 0.278 0.479 0.583
# Final energy (Ha/atom): -0.1619

=====

# 18
# Zr4CdSnC2, optimized geometry, DFT PBE
data_Zr4CdSnC2
_chemical_formula_sum 'Zr4 Cd1 Sn1 C2'
_symmetry_space_group_name_H-M 'P -6 m 2'
_symmetry_Int_Tables_number 187
_symmetry_space_group_name_Hall 'P -6 2'
_cell_length_a 3.3670
_cell_length_b 3.3670
_cell_length_c 15.0063
_cell_angle_alpha 90.00
_cell_angle_beta 90.00
_cell_angle_gamma 120.00
loop_
_atom_site_label
_atom_site_type_symbol
_atom_site_fract_x
_atom_site_fract_y
_atom_site_fract_z
Zr1 Zr 0.0000 0.0000 0.1633
Zr2 Zr 0.6667 0.3333 0.3297
Cd1 Cd 0.0000 0.0000 0.5000
Sn1 Sn 0.6667 0.3333 0.0000
C1 C 0.3333 0.6667 0.2472
# Final energy (Ha/atom): -0.2887

=====

# 19
# BeCuTcBi, optimized geometry, DFT PBE
data_BeCuTcBi
_chemical_formula_sum 'Be4 Cu4 Tc4 Bi4'
_symmetry_space_group_name_H-M 'F -4 3 m'
_symmetry_Int_Tables_number 216
_symmetry_space_group_name_Hall 'F -4 2 3'
_cell_length_a 6.315
_cell_length_b 6.315
_cell_length_c 6.315
_cell_angle_alpha 90.00
_cell_angle_beta 90.00
_cell_angle_gamma 90.00
loop_
_atom_site_label
_atom_site_type_symbol
_atom_site_fract_x
_atom_site_fract_y
_atom_site_fract_z
Be1 Be 0.000 0.000 0.000
Cu1 Cu 0.250 0.250 0.750
Tc1 Tc 0.250 0.250 0.250
Bi1 Bi 0.000 0.000 0.500
# E above lowest polymorph (meV/atom): 0

=====

# 20
# NdNiAs, optimized geometry, DFT PBE
data_NdNiAs
_chemical_formula_sum 'Nd2 Ni2 As2'
_symmetry_space_group_name_H-M 'P 63/m m c'
_symmetry_Int_Tables_number 194
_symmetry_space_group_name_Hall '-P 6c 2c'
_cell_length_a 4.1018
_cell_length_b 4.1018
_cell_length_c 8.0473
_cell_angle_alpha 90.00
_cell_angle_beta 90.00
_cell_angle_gamma 120.00
loop_
_atom_site_label
_atom_site_type_symbol
_atom_site_fract_x
_atom_site_fract_y
_atom_site_fract_z
Nd1 Nd 0.0000 0.0000 0.0000
Ni1 Ni 0.3333 0.6667 0.2500
As1 As 0.3333 0.6667 0.7500
# Final energy (Ha/atom): -0.2219

=====

# 21
# Nb2Zn2Co2IrOs, optimized geometry, DFT PBE
data_Nb2Zn2Co2IrOs
_chemical_formula_sum 'Nb2 Zn2 Co2 Ir1 Os1'
_symmetry_space_group_name_H-M 'P -4 m 2'
_symmetry_Int_Tables_number 115
_cell_length_a 4.320
_cell_length_b 4.320
_cell_length_c 6.118
_cell_angle_alpha 90.00
_cell_angle_beta 90.00
_cell_angle_gamma 90.00
loop_
_symmetry_equiv_pos_as_xyz
'x,y,z'
'y,-x,-z'
'-x,-y,z'
'-y,x,-z'
'-x,y,z'
'-y,-x,-z'
'x,-y,z'
'y,x,-z'
loop_
_atom_site_label
_atom_site_type_symbol
_atom_site_fract_x
_atom_site_fract_y
_atom_site_fract_z
Nb1 Nb 0.000 0.500 0.249
Zn1 Zn 0.000 0.500 0.751
Co1 Co 0.000 0.000 0.500
Co2 Co 0.500 0.500 0.000
Ir1 Ir 0.500 0.500 0.500
Os1 Os 0.000 0.000 0.000
# Formation energy from the elements (kJ/mol of atoms): -19.9

=====

# 22
# YFeCuSi, optimized geometry, DFT PBE
data_YFeCuSi
_chemical_formula_sum 'Y4 Fe4 Cu4 Si4'
_symmetry_space_group_name_H-M 'F -4 3 m'
_symmetry_Int_Tables_number 216
_symmetry_space_group_name_Hall 'F -4 2 3'
_cell_length_a 6.408
_cell_length_b 6.408
_cell_length_c 6.408
_cell_angle_alpha 90.00
_cell_angle_beta 90.00
_cell_angle_gamma 90.00
loop_
_atom_site_label
_atom_site_type_symbol
_atom_site_fract_x
_atom_site_fract_y
_atom_site_fract_z
Y1 Y 0.000 0.000 0.000
Fe1 Fe 0.250 0.250 0.750
Cu1 Cu 0.000 0.000 0.500
Si1 Si 0.250 0.250 0.250
# E above lowest polymorph (meV/atom): 200

=====

# 23
# AcTmPb3, optimized geometry, DFT PBE
data_AcTmPb3
_chemical_formula_sum 'Ac2 Tm2 Pb6'
_symmetry_space_group_name_H-M 'P 1 21/m 1'
_symmetry_Int_Tables_number 11
_cell_length_a 4.889
_cell_length_b 4.801
_cell_length_c 13.675
_cell_angle_alpha 90.00
_cell_angle_beta 100.29
_cell_angle_gamma 90.00
loop_
_symmetry_equiv_pos_as_xyz
'x,y,z'
'-x,-y,-z'
'-x,y+1/2,-z'
'x,-y+1/2,z'
loop_
_atom_site_label
_atom_site_type_symbol
_atom_site_fract_x
_atom_site_fract_y
_atom_site_fract_z
Ac1 Ac 0.069 0.250 0.136
Tm1 Tm 0.245 0.250 0.490
Pb1 Pb 0.165 0.750 0.331
Pb2 Pb 0.335 0.750 0.671
Pb3 Pb 0.460 0.250 0.921
# Final energy (Ha/atom): -0.1615

=====

# 24
# UPaFe, optimized geometry, DFT PBE
data_UPaFe
_chemical_formula_sum 'U4 Pa4 Fe4'
_symmetry_space_group_name_H-M 'F -4 3 m'
_symmetry_Int_Tables_number 216
_symmetry_space_group_name_Hall 'F -4 2 3'
_cell_length_a 6.269
_cell_length_b 6.269
_cell_length_c 6.269
_cell_angle_alpha 90.00
_cell_angle_beta 90.00
_cell_angle_gamma 90.00
loop_
_atom_site_label
_atom_site_type_symbol
_atom_site_fract_x
_atom_site_fract_y
_atom_site_fract_z
U1 U 0.000 0.000 0.000
Pa1 Pa 0.000 0.000 0.500
Fe1 Fe 0.250 0.250 0.250
# Formation energy from the elements (kJ/mol of atoms): 29.9
# E above lowest polymorph (meV/atom): 0